GGA+U Ba3YFe2O8, relaxed; total DFT energy (no corrections) = -6.807 eV/atom; ρ = 5104 kg/m³
1.0
6.037 0.000 0.000
-3.019 5.229 0.000
0.000 0.000 7.633
Ba Y Fe O
3 1 2 8
Cartesian
0.000 3.486 5.007
3.019 1.743 2.625
0.000 0.000 0.000
0.000 0.000 3.816
0.000 3.486 1.638
3.019 1.743 5.995
0.000 3.486 7.469
3.019 1.743 0.163
-1.485 4.343 2.433
4.503 0.886 5.200
0.000 1.771 2.433
3.019 3.457 5.200
1.485 4.343 2.433
1.534 0.886 5.200